{"formula": "BaScTe2Cl", "functional": "PBEsol", "state": "relaxed", "cell": [[-3.183, 2.223, 2.961], [-4.292, -1.900, -3.187], [-0.299, -4.681, 3.193]], "species": ["Ba", "Te", "Sc", "Te", "Cl"], "frac_coords": [[0.500, 0.500, 0.500], [0.000, 0.500, 0.000], [0.000, 0.000, 0.000], [0.000, 0.000, 0.500], [0.500, 0.000, 0.000]], "formation_energy_uncorrected_ev_per_atom": -1.6255, "total_energy_ev_per_atom": -5.188, "magnetic_moment_mub_per_fu": 0.00}